A plane-wave DFT calculation with PBE was carried out for a geometry-optimized Cs4Au3I12 structure.

The space group is Im-3 (No. 204) and the conventional cell measures 13.371, 13.371 and 13.371 Å, with angles of 90.00, 90.00 and 90.00 degrees. The asymmetric unit holds Cs at (0.250, 0.250, 0.250), Au at (0.000, 0.000, 0.500) and I at (0.000, 0.143, 0.357).

For the total magnetic moment, the calculation gives 0.860 Bohr magnetons per cell. As for the energy relative to the elements, uncorrected: -0.642 eV per atom.